The following is a DFT calculation (GGA-PBE) of an optimized crystal structure of LiBiPd4.

## Properties
For the formation energy, the calculation gives -0.324 eV per atom.

abc: 5.1071 5.1071 4.7831
angles: 97.25 97.25 123.84
Atoms (fractional coordinates):
Li: 0.0000 0.0000 0.0000
Bi: 0.5000 0.5000 0.5000
Pd: 0.1621 0.8379 0.5000
Pd: 0.3338 0.6662 0.0000
Pd: 0.6662 0.3338 0.0000
Pd: 0.8379 0.1621 0.5000

The following is a DFT calculation (GGA-PBE) of an optimized crystal structure of LiBi3Pd3.

## Properties
For the formation energy, the calculation gives -0.268 eV per atom.

abc: 6.7397 6.7397 7.2284
angles: 92.21 92.21 112.36
Atoms (fractional coordinates):
Li: 0.2035 0.2035 0.4855
Li: 0.7965 0.7965 0.5145
Bi: 0.1560 0.1560 0.8628
Bi: 0.2739 0.7261 0.5000
Bi: 0.3202 0.6798 0.0000
Bi: 0.6798 0.3202 0.0000
Bi: 0.7261 0.2739 0.5000
Bi: 0.8440 0.8440 0.1372
Pd: 0.0391 0.3108 0.2047
Pd: 0.3108 0.0391 0.2047
Pd: 0.4953 0.4953 0.2988
Pd: 0.5047 0.5047 0.7012
Pd: 0.6892 0.9609 0.7953
Pd: 0.9609 0.6892 0.7953

The following is a DFT calculation (GGA-PBE) of an optimized crystal structure of Li3BiPd6.

## Properties
For the formation energy, the calculation gives -0.339 eV per atom.

abc: 7.9945 4.2457 9.2279
angles: 90.00 99.97 90.00
Atoms (fractional coordinates):
Li: 0.0465 0.2500 0.3974
Li: 0.1490 0.7500 0.1751
Li: 0.2440 0.2500 0.9742
Li: 0.7560 0.7500 0.0258
Li: 0.8510 0.2500 0.8249
Li: 0.9535 0.7500 0.6026
Bi: 0.4345 0.2500 0.6246
Bi: 0.5655 0.7500 0.3754
Pd: 0.0327 0.7500 0.8943
Pd: 0.1108 0.2500 0.6919
Pd: 0.2295 0.7500 0.4748
Pd: 0.3218 0.2500 0.2712
Pd: 0.3345 0.7500 0.7929
Pd: 0.4393 0.7500 0.0827
Pd: 0.5607 0.2500 0.9173
Pd: 0.6655 0.2500 0.2071
Pd: 0.6782 0.7500 0.7288
Pd: 0.7705 0.2500 0.5252
Pd: 0.8892 0.7500 0.3081
Pd: 0.9673 0.2500 0.1057

The following is a DFT calculation (GGA-PBE) of an optimized crystal structure of Li2BiPd2.

## Properties
For the formation energy, the calculation gives -0.399 eV per atom.

abc: 9.8476 4.9667 7.3886
angles: 90.00 110.73 90.00
Atoms (fractional coordinates):
Li: 0.1254 0.0770 0.0953
Li: 0.1254 0.4230 0.5953
Li: 0.2285 0.6076 0.9876
Li: 0.2285 0.8924 0.4876
Li: 0.7715 0.1076 0.5124
Li: 0.7715 0.3924 0.0124
Li: 0.8746 0.5770 0.4047
Li: 0.8746 0.9230 0.9047
Bi: 0.3325 0.0994 0.8881
Bi: 0.3325 0.4006 0.3881
Bi: 0.6675 0.5994 0.6119
Bi: 0.6675 0.9006 0.1119
Pd: 0.0447 0.5770 0.1953
Pd: 0.0447 0.9230 0.6953
Pd: 0.4328 0.5933 0.7899
Pd: 0.4328 0.9067 0.2899
Pd: 0.5672 0.0933 0.7101
Pd: 0.5672 0.4067 0.2101
Pd: 0.9553 0.0770 0.3047
Pd: 0.9553 0.4230 0.8047

The following is a DFT calculation (GGA-PBE) of an optimized crystal structure of Li4BiPd7.

## Properties
For the formation energy, the calculation gives -0.150 eV per atom.

abc: 5.7353 5.7353 9.2029
angles: 117.07 117.07 51.56
Atoms (fractional coordinates):
Li: 0.0839 0.0839 0.2627
Li: 0.2289 0.2289 0.8153
Li: 0.7711 0.7711 0.1847
Li: 0.9161 0.9161 0.7373
Bi: 0.5000 0.5000 0.5000
Pd: 0.0000 0.0000 0.5000
Pd: 0.1531 0.1531 0.0357
Pd: 0.2848 0.2848 0.5750
Pd: 0.4565 0.4565 0.1197
Pd: 0.5435 0.5435 0.8803
Pd: 0.7152 0.7152 0.4250
Pd: 0.8469 0.8469 0.9643

The following is a DFT calculation (GGA-PBE) of an optimized crystal structure of LiBi6Pd12.

## Properties
For the formation energy, the calculation gives -0.179 eV per atom.

abc: 7.2533 7.2533 7.2533
angles: 86.99 86.99 86.99
Atoms (fractional coordinates):
Li: 0.0000 0.0000 0.0000
Bi: 0.1928 0.6051 0.2417
Bi: 0.2417 0.1928 0.6051
Bi: 0.3949 0.7583 0.8072
Bi: 0.6051 0.2417 0.1928
Bi: 0.7583 0.8072 0.3949
Bi: 0.8072 0.3949 0.7583
Pd: 0.0160 0.0875 0.3270
Pd: 0.0875 0.3270 0.0160
Pd: 0.1368 0.5603 0.6337
Pd: 0.3270 0.0160 0.0875
Pd: 0.3663 0.8632 0.4397
Pd: 0.4397 0.3663 0.8632
Pd: 0.5603 0.6337 0.1368
Pd: 0.6337 0.1368 0.5603
Pd: 0.6730 0.9840 0.9125
Pd: 0.8632 0.4397 0.3663
Pd: 0.9125 0.6730 0.9840
Pd: 0.9840 0.9125 0.6730

The following is a DFT calculation (GGA-PBE) of an optimized crystal structure of LiBi2Pd3.

## Properties
For the formation energy, the calculation gives -0.362 eV per atom.

abc: 4.7133 4.7133 12.0023
angles: 90.00 90.00 120.00
Atoms (fractional coordinates):
Li: 0.3333 0.6667 0.1581
Li: 0.6667 0.3333 0.8419
Bi: 0.0000 0.0000 0.0000
Bi: 0.0000 0.0000 0.5000
Bi: 0.3333 0.6667 0.6919
Bi: 0.6667 0.3333 0.3081
Pd: 0.0000 0.0000 0.2383
Pd: 0.0000 0.0000 0.7617
Pd: 0.3333 0.6667 0.3905
Pd: 0.3333 0.6667 0.9256
Pd: 0.6667 0.3333 0.0744
Pd: 0.6667 0.3333 0.6095

The following is a DFT calculation (GGA-PBE) of an optimized crystal structure of Li4BiPd5.

## Properties
For the formation energy, the calculation gives -0.234 eV per atom.

abc: 6.1603 6.1603 6.1603
angles: 100.08 100.08 130.55
Atoms (fractional coordinates):
Li: 0.1376 0.7428 0.8804
Li: 0.2572 0.1376 0.3948
Li: 0.7428 0.8624 0.6052
Li: 0.8624 0.2572 0.1196
Bi: 0.3152 0.3152 0.0000
Pd: 0.1772 0.4562 0.6076
Pd: 0.4562 0.8487 0.2790
Pd: 0.5697 0.1772 0.7210
Pd: 0.8045 0.8045 0.0000
Pd: 0.8487 0.5697 0.3924

The following is a DFT calculation (GGA-PBE) of an optimized crystal structure of Li8BiPd2.

## Properties
For the formation energy, the calculation gives -0.337 eV per atom.

abc: 6.7935 6.7935 4.4379
angles: 90.89 90.89 107.45
Atoms (fractional coordinates):
Li: 0.1548 0.1548 0.9903
Li: 0.1914 0.4640 0.4935
Li: 0.2410 0.7590 0.0000
Li: 0.4640 0.1914 0.4935
Li: 0.5360 0.8086 0.5065
Li: 0.7590 0.2410 0.0000
Li: 0.8086 0.5360 0.5065
Li: 0.8452 0.8452 0.0097
Bi: 0.5000 0.5000 0.0000
Pd: 0.1211 0.8789 0.5000
Pd: 0.8789 0.1211 0.5000

The following is a DFT calculation (GGA-PBE) of an optimized crystal structure of LiBi2Pd2.

## Properties
For the formation energy, the calculation gives -0.371 eV per atom.

abc: 4.7517 4.7401 9.7084
angles: 90.00 90.87 90.00
Atoms (fractional coordinates):
Li: 0.2393 0.2500 0.3350
Li: 0.7607 0.7500 0.6650
Bi: 0.2359 0.2500 0.6583
Bi: 0.2517 0.2500 0.0095
Bi: 0.7483 0.7500 0.9905
Bi: 0.7641 0.7500 0.3417
Pd: 0.2567 0.7500 0.1723
Pd: 0.2741 0.7500 0.4938
Pd: 0.7259 0.2500 0.5062
Pd: 0.7433 0.2500 0.8277

The following is a DFT calculation (GGA-PBE) of an optimized crystal structure of LiBi3Pd2.

## Properties
For the formation energy, the calculation gives -0.239 eV per atom.

abc: 6.8004 6.8004 7.2485
angles: 90.00 90.00 120.00
Atoms (fractional coordinates):
Li: 0.3333 0.6667 0.2357
Li: 0.6667 0.3333 0.7643
Bi: 0.1727 0.3454 0.7836
Bi: 0.1727 0.8273 0.7836
Bi: 0.3454 0.1727 0.2164
Bi: 0.6546 0.8273 0.7836
Bi: 0.8273 0.1727 0.2164
Bi: 0.8273 0.6546 0.2164
Pd: 0.0000 0.0000 0.5000
Pd: 0.0000 0.5000 0.5000
Pd: 0.5000 0.0000 0.5000
Pd: 0.5000 0.5000 0.5000

The following is a DFT calculation (GGA-PBE) of an optimized crystal structure of LiBi3Pd5.

## Properties
For the formation energy, the calculation gives -0.291 eV per atom.

abc: 8.2733 8.2733 5.8828
angles: 90.00 90.00 120.00
Atoms (fractional coordinates):
Li: 0.0000 0.0000 0.0000
Li: 0.0000 0.0000 0.5000
Bi: 0.0000 0.3381 0.2500
Bi: 0.0000 0.6619 0.7500
Bi: 0.3381 0.0000 0.2500
Bi: 0.3381 0.3381 0.7500
Bi: 0.6619 0.0000 0.7500
Bi: 0.6619 0.6619 0.2500
Pd: 0.0000 0.3308 0.7500
Pd: 0.0000 0.6692 0.2500
Pd: 0.3308 0.0000 0.7500
Pd: 0.3308 0.3308 0.2500
Pd: 0.3333 0.6667 0.0000
Pd: 0.3333 0.6667 0.5000
Pd: 0.6667 0.3333 0.0000
Pd: 0.6667 0.3333 0.5000
Pd: 0.6692 0.0000 0.2500
Pd: 0.6692 0.6692 0.7500

The following is a DFT calculation (GGA-PBE) of an optimized crystal structure of LiBi2Pd9.

## Properties
For the formation energy, the calculation gives -0.264 eV per atom.

abc: 4.0992 4.0992 11.9271
angles: 90.00 90.00 90.00
Atoms (fractional coordinates):
Li: 0.0000 0.0000 0.0000
Bi: 0.0000 0.0000 0.3191
Bi: 0.0000 0.0000 0.6809
Pd: 0.0000 0.5000 0.1540
Pd: 0.0000 0.5000 0.5000
Pd: 0.0000 0.5000 0.8460
Pd: 0.5000 0.0000 0.1540
Pd: 0.5000 0.0000 0.5000
Pd: 0.5000 0.0000 0.8460
Pd: 0.5000 0.5000 0.0000
Pd: 0.5000 0.5000 0.3315
Pd: 0.5000 0.5000 0.6685

The following is a DFT calculation (GGA-PBE) of an optimized crystal structure of Li6BiPd12.

## Properties
For the formation energy, the calculation gives -0.222 eV per atom.

abc: 6.9381 6.9381 6.9381
angles: 101.60 101.60 101.60
Atoms (fractional coordinates):
Li: 0.0616 0.3392 0.3392
Li: 0.3392 0.0616 0.3392
Li: 0.3392 0.3392 0.0616
Li: 0.6608 0.6608 0.9384
Li: 0.6608 0.9384 0.6608
Li: 0.9384 0.6608 0.6608
Bi: 0.5000 0.5000 0.5000
Pd: 0.0893 0.0893 0.6868
Pd: 0.0893 0.6868 0.0893
Pd: 0.2323 0.5000 0.7677
Pd: 0.2323 0.7677 0.5000
Pd: 0.3132 0.9107 0.9107
Pd: 0.5000 0.2323 0.7677
Pd: 0.5000 0.7677 0.2323
Pd: 0.6868 0.0893 0.0893
Pd: 0.7677 0.2323 0.5000
Pd: 0.7677 0.5000 0.2323
Pd: 0.9107 0.3132 0.9107
Pd: 0.9107 0.9107 0.3132

The following is a DFT calculation (GGA-PBE) of an optimized crystal structure of Li4BiPd4.

## Properties
For the formation energy, the calculation gives -0.425 eV per atom.

abc: 6.1914 6.1914 6.1914
angles: 96.43 96.43 140.89
Atoms (fractional coordinates):
Li: 0.1783 0.1783 0.3565
Li: 0.1783 0.8217 0.0000
Li: 0.8217 0.1783 0.0000
Li: 0.8217 0.8217 0.6435
Bi: 0.5000 0.5000 0.0000
Pd: 0.1661 0.5000 0.6661
Pd: 0.5000 0.1661 0.6661
Pd: 0.5000 0.8339 0.3339
Pd: 0.8339 0.5000 0.3339

The following is a DFT calculation (GGA-PBE) of an optimized crystal structure of Li3Bi4Pd2.

## Properties
For the formation energy, the calculation gives -0.301 eV per atom.

abc: 8.1796 8.1796 6.1925
angles: 91.90 91.90 87.26
Atoms (fractional coordinates):
Li: 0.0438 0.9562 0.7500
Li: 0.2962 0.4271 0.3592
Li: 0.4271 0.2962 0.8592
Li: 0.5729 0.7038 0.1408
Li: 0.7038 0.5729 0.6408
Li: 0.9562 0.0438 0.2500
Bi: 0.0187 0.6806 0.4036
Bi: 0.1948 0.5934 0.9302
Bi: 0.3194 0.9813 0.0964
Bi: 0.4066 0.8052 0.5698
Bi: 0.5934 0.1948 0.4302
Bi: 0.6806 0.0187 0.9036
Bi: 0.8052 0.4066 0.0698
Bi: 0.9813 0.3194 0.5964
Pd: 0.1215 0.2525 0.0136
Pd: 0.2525 0.1215 0.5136
Pd: 0.7475 0.8785 0.4864
Pd: 0.8785 0.7475 0.9864

The following is a DFT calculation (GGA-PBE) of an optimized crystal structure of Li2BiPd2.

## Properties
For the formation energy, the calculation gives -0.343 eV per atom.

abc: 7.1594 7.1594 3.2198
angles: 90.00 90.00 90.00
Atoms (fractional coordinates):
Li: 0.1235 0.3765 0.0000
Li: 0.3765 0.8765 0.0000
Li: 0.6235 0.1235 0.0000
Li: 0.8765 0.6235 0.0000
Bi: 0.0000 0.0000 0.0000
Bi: 0.5000 0.5000 0.0000
Pd: 0.1716 0.6716 0.5000
Pd: 0.3284 0.1716 0.5000
Pd: 0.6716 0.8284 0.5000
Pd: 0.8284 0.3284 0.5000

The following is a DFT calculation (GGA-PBE) of an optimized crystal structure of LiBi2Pd5.

## Properties
For the formation energy, the calculation gives -0.237 eV per atom.

abc: 5.5635 5.5635 12.7085
angles: 90.00 90.00 129.93
Atoms (fractional coordinates):
Li: 0.0816 0.9184 0.7500
Li: 0.9184 0.0816 0.2500
Bi: 0.3879 0.6121 0.1007
Bi: 0.3879 0.6121 0.3993
Bi: 0.6121 0.3879 0.6007
Bi: 0.6121 0.3879 0.8993
Pd: 0.1334 0.8666 0.0165
Pd: 0.1334 0.8666 0.4835
Pd: 0.1890 0.8110 0.2500
Pd: 0.3388 0.6612 0.6390
Pd: 0.3388 0.6612 0.8610
Pd: 0.6612 0.3388 0.1390
Pd: 0.6612 0.3388 0.3610
Pd: 0.8110 0.1890 0.7500
Pd: 0.8666 0.1334 0.5165
Pd: 0.8666 0.1334 0.9835